Entry 1:
An optimized crystal structure of K3Nd3MnSe8. Source: the Alexandria database, functional PBE-GGA. Values from VASP.

DOS(E_F) = 0.002 states/eV/atom
Crystal system = trigonal
Formation energy (no corrections) = -135.8 kJ per mole of atoms
Magnetization = 2.99 μB/f.u.

The structure in Quantum ESPRESSO input format:
```
&SYSTEM
  ibrav = 0, nat = 15, ntyp = 4
/
ATOMIC_SPECIES
K 39.10 K.upf
Nd 144.24 Nd.upf
Mn 54.94 Mn.upf
Se 78.96 Se.upf
ATOMIC_POSITIONS crystal
K 0.000 0.000 0.000
K 0.000 0.500 0.000
K 0.500 0.500 0.000
Nd 0.500 0.000 0.500
Nd 0.500 0.500 0.500
Nd 0.000 0.500 0.500
Mn 0.000 0.000 0.500
Se 0.262 0.525 0.287
Se 0.738 0.475 0.713
Se 0.790 0.580 0.310
Se 0.210 0.420 0.690
Se 0.790 0.020 0.310
Se 0.210 0.980 0.690
Se 0.230 0.020 0.310
Se 0.770 0.980 0.690
CELL_PARAMETERS angstrom
8.414 0.000 0.000
-4.207 7.287 -0.034
0.000 -4.823 7.867
```



Entry 2:
An optimized crystal structure of Sm5Zn2Ag. Source: the Alexandria database, functional PBE-GGA. Values from VASP.

DOS(E_F) = 1.225 states/eV/atom
Calculated formation energy = -185 meV/atom
Crystal system = tetragonal
Magnetization = 0.00 μB/f.u.

The structure in Quantum ESPRESSO input format:
```
&SYSTEM
  ibrav = 0, nat = 16, ntyp = 3
/
ATOMIC_SPECIES
Sm 150.36 Sm.upf
Zn 65.41 Zn.upf
Ag 107.87 Ag.upf
ATOMIC_POSITIONS crystal
Sm 0.518 0.683 0.701
Sm 0.817 0.982 0.299
Sm 0.000 0.000 0.000
Sm 0.500 0.500 0.000
Sm 0.183 0.018 0.701
Sm 0.683 0.183 0.701
Sm 0.018 0.518 0.701
Sm 0.317 0.817 0.299
Sm 0.982 0.482 0.299
Sm 0.482 0.317 0.299
Zn 0.120 0.380 0.000
Zn 0.620 0.120 0.000
Zn 0.380 0.880 0.000
Zn 0.880 0.620 0.000
Ag 0.750 0.750 0.500
Ag 0.250 0.250 0.500
CELL_PARAMETERS angstrom
1.597 5.312 -5.008
1.369 -5.253 -5.135
-9.048 0.160 2.860
```



Entry 3:
An optimized crystal structure of Li2TaAlPb. Source: the Alexandria database, functional PBE-GGA. Values from VASP.

DOS(E_F) = 0.778 states/eV/atom
Calculated formation energy = 1250 meV/atom
Crystal system = tetragonal
Magnetization = 2.80 μB/f.u.

The structure in Quantum ESPRESSO input format:
```
&SYSTEM
  ibrav = 0, nat = 5, ntyp = 4
/
ATOMIC_SPECIES
Pb 207.20 Pb.upf
Li 6.94 Li.upf
Al 26.98 Al.upf
Ta 180.95 Ta.upf
ATOMIC_POSITIONS crystal
Pb 0.000 0.500 0.000
Li 0.000 0.000 0.500
Li 0.500 0.000 0.000
Al 0.500 0.500 0.500
Ta 0.000 0.000 0.000
CELL_PARAMETERS angstrom
5.192 0.000 0.000
0.000 5.437 0.000
0.000 0.000 5.192
```



Entry 4:
An optimized crystal structure of Tb3HoMg4. Source: the Alexandria database, functional PBE-GGA. Values from VASP.

DOS(E_F) = 1.304 states/eV/atom
Calculated formation energy = -83 meV/atom
Crystal system = tetragonal
Magnetization = 0.00 μB/f.u.

The structure in Quantum ESPRESSO input format:
```
&SYSTEM
  ibrav = 0, nat = 8, ntyp = 3
/
ATOMIC_SPECIES
Mg 24.30 Mg.upf
Tb 158.93 Tb.upf
Ho 164.93 Ho.upf
ATOMIC_POSITIONS crystal
Mg 0.000 0.000 0.877
Mg 0.000 0.000 0.123
Mg 0.000 0.000 0.374
Mg 0.000 0.000 0.626
Tb 0.500 0.500 0.249
Tb 0.500 0.500 0.500
Tb 0.500 0.500 0.751
Ho 0.500 0.500 0.000
CELL_PARAMETERS angstrom
-0.880 1.148 -3.504
-3.638 0.321 1.018
2.426 14.421 4.115
```



Entry 5:
An optimized crystal structure of YEr4Rh4. Source: the Alexandria database, functional PBE-GGA. Values from VASP.

DOS(E_F) = 0.611 states/eV/atom
Calculated formation energy = -680 meV/atom
Crystal system = tetragonal
Magnetization = 0.00 μB/f.u.

The structure in Quantum ESPRESSO input format:
```
&SYSTEM
  ibrav = 0, nat = 18, ntyp = 3
/
ATOMIC_SPECIES
Y 88.91 Y.upf
Er 167.26 Er.upf
Rh 102.91 Rh.upf
ATOMIC_POSITIONS crystal
Y 0.000 0.000 0.000
Y 0.500 0.500 0.500
Er 0.408 0.322 0.911
Er 0.908 0.589 0.822
Er 0.408 0.678 0.089
Er 0.092 0.178 0.589
Er 0.592 0.911 0.678
Er 0.092 0.822 0.411
Er 0.908 0.411 0.178
Er 0.592 0.089 0.322
Rh 0.594 0.780 0.374
Rh 0.594 0.220 0.626
Rh 0.094 0.874 0.720
Rh 0.906 0.280 0.874
Rh 0.906 0.720 0.126
Rh 0.406 0.374 0.220
Rh 0.406 0.626 0.780
Rh 0.094 0.126 0.280
CELL_PARAMETERS angstrom
5.577 0.000 0.000
0.000 8.765 0.000
0.000 0.000 8.765
```



Entry 6:
An optimized crystal structure of NaCl. Source: the Alexandria database, functional PBE-GGA. Values from VASP.

DOS(E_F) = 0.000 states/eV/atom
Crystal system = cubic
Formation energy (no corrections) = -164.9 kJ per mole of atoms
Magnetization = 0.00 μB/f.u.

The structure in Quantum ESPRESSO input format:
```
&SYSTEM
  ibrav = 0, nat = 16, ntyp = 2
/
ATOMIC_SPECIES
Na 22.99 Na.upf
Cl 35.45 Cl.upf
ATOMIC_POSITIONS crystal
Na 0.156 0.156 0.156
Na 0.156 0.844 0.844
Na 0.844 0.156 0.844
Na 0.844 0.844 0.156
Na 0.656 0.656 0.656
Na 0.656 0.344 0.344
Na 0.344 0.656 0.344
Na 0.344 0.344 0.656
Cl 0.335 0.335 0.335
Cl 0.335 0.665 0.665
Cl 0.665 0.335 0.665
Cl 0.665 0.665 0.335
Cl 0.835 0.835 0.835
Cl 0.835 0.165 0.165
Cl 0.165 0.835 0.165
Cl 0.165 0.165 0.835
CELL_PARAMETERS angstrom
8.514 0.000 0.000
0.000 8.514 0.000
0.000 0.000 8.514
```



no.,total energy (eV/atom)
1,-5.051
2,-3.809
3,-3.377
4,-3.189
5,-6.694
6,-3.292